[1]
First-principles (PBE-GGA) data for crystalline La2ErTm at its relaxed geometry, as listed in Alexandria.

CIF file:
```
data_La2ErTm
_chemical_formula_sum 'La2 Er1 Tm1'
_space_group_name_H-M_alt 'P 1'
_space_group_IT_number 1
_space_group_name_Hall 'P 1'
_cell_length_a 3.6285
_cell_length_b 3.6285
_cell_length_c 11.9296
_cell_angle_alpha 81.25
_cell_angle_beta 81.25
_cell_angle_gamma 60.00
loop_
_atom_site_label
_atom_site_fract_x
_atom_site_fract_y
_atom_site_fract_z
La1 0.0837 0.0837 0.7488
La2 0.2492 0.2492 0.2523
Er1 0.6679 0.6679 0.9964
Tm1 0.4992 0.4992 0.5025
```

Output
Its total magnetization is 0.0 μB per formula unit. The value obtained for the density of states at the Fermi level is 1.546 states/eV/atom. The value obtained for the total energy is -4.69 eV/atom. As for the energy relative to the elements: 0.035 eV per atom.

=====

[2]
First-principles (PBE-GGA) data for crystalline La4Er2Tm5 at its relaxed geometry, as listed in Alexandria.

CIF file:
```
data_La4Er2Tm5
_chemical_formula_sum 'La4 Er2 Tm5'
_space_group_name_H-M_alt 'P 1'
_space_group_IT_number 1
_space_group_name_Hall 'P 1'
_cell_length_a 3.6590
_cell_length_b 9.5787
_cell_length_c 12.0713
_cell_angle_alpha 66.90
_cell_angle_beta 81.27
_cell_angle_gamma 67.56
loop_
_atom_site_label
_atom_site_fract_x
_atom_site_fract_y
_atom_site_fract_z
La1 0.2003 0.1179 0.3642
La2 0.6671 0.2920 0.0799
La3 0.7997 0.8821 0.6358
La4 0.3329 0.7080 0.9201
Er1 0.8348 0.5533 0.2239
Er2 0.1652 0.4467 0.7761
Tm1 0.9958 0.1295 0.7492
Tm2 0.0042 0.8705 0.2508
Tm3 0.5924 0.6577 0.4996
Tm4 0.5000 0.0000 0.0000
Tm5 0.4076 0.3423 0.5004
```

Output
Its total magnetization is 0.0 μB per formula unit. The value obtained for the density of states at the Fermi level is 1.497 states/eV/atom. The value obtained for the total energy is -4.60 eV/atom. As for the energy relative to the elements: 0.051 eV per atom.

=====

In the order shown, the computed distance to the lowest polymorph of the same formula values come out to 1.7, 0.0 kJ per mole of atoms.